Below is an optimized crystal structure of CrSiSeBr2, with properties calculated at the GGA-PBE level.

Unit cell a=5.062 b=5.062 c=5.046 alpha=90.00 beta=90.00 gamma=90.00
Element x y z (fractional)
Cr 0.000 0.000 0.000
Si 0.500 0.500 0.500
Se 0.500 0.500 0.000
Br 0.000 0.500 0.500
Br 0.500 0.000 0.500

D(E_F) in states/eV/atom: 0.765
Energy relative to the elements, uncorrected in eV/atom: 0.29
Excess energy over the best structure of this formula in the dataset in eV/atom: 0.0574
VASP energy in eV per atom: -4.0858
Space-group type: P4/mmm, No. 123